[1]
An optimized crystal structure of Sr7Al. Source: Alexandria, functional PBE-GGA.

Output
Calculated volume: 1521 Å³/cell
ΔH_f (0 K): 0.111 eV per atom

Cell and atoms, written as CIF:
```
data_Sr7Al
_chemical_formula_sum 'Sr28 Al4'
_symmetry_space_group_name_H-M 'F m -3 m'
_symmetry_Int_Tables_number 225
_symmetry_space_group_name_Hall '-F 4 2 3'
_cell_length_a 11.501
_cell_length_b 11.501
_cell_length_c 11.501
_cell_angle_alpha 90.00
_cell_angle_beta 90.00
_cell_angle_gamma 90.00
loop_
_atom_site_label
_atom_site_type_symbol
_atom_site_fract_x
_atom_site_fract_y
_atom_site_fract_z
Sr1 Sr 0.000 0.000 0.000
Sr2 Sr 0.000 0.250 0.250
Al1 Al 0.000 0.000 0.500
```

***

[2]
An optimized crystal structure of Sr5Al3. Source: Alexandria, functional PBE-GGA.

Output
Calculated volume: 599 Å³/cell
ΔE to the lowest computed polymorph: 76 meV per atom
ΔH_f (0 K): -0.044 eV per atom

Cell and atoms, written as CIF:
```
data_Sr5Al3
_chemical_formula_sum 'Sr10 Al6'
_symmetry_space_group_name_H-M 'P 63/m c m'
_symmetry_Int_Tables_number 193
_symmetry_space_group_name_Hall '-P 6c 2'
_cell_length_a 10.0511
_cell_length_b 10.0511
_cell_length_c 6.8502
_cell_angle_alpha 90.00
_cell_angle_beta 90.00
_cell_angle_gamma 120.00
loop_
_atom_site_label
_atom_site_type_symbol
_atom_site_fract_x
_atom_site_fract_y
_atom_site_fract_z
Sr1 Sr 0.0000 0.2685 0.2500
Sr2 Sr 0.3333 0.6667 0.0000
Al1 Al 0.0000 0.3961 0.7500
```